Entry 1:
VSiSbTe2: optimized geometry, PBE.

Unit cell a=5.168 b=5.168 c=5.198 alpha=90.00 beta=90.00 gamma=90.00
Each line ends with the local moment (μB).
Fractional positions:
Sb 0.000 0.000 0.500  -0.13
Si 0.500 0.500 0.500  0.23
Te 0.000 0.500 0.000  -0.13
Te 0.500 0.000 0.000  -0.13
V 0.000 0.000 0.000  1.29

Values from the calculation:
formation energy without anion corrections: 619.4 meV/atom
crystal system: tetragonal
polymorph energy (0 for the lowest one): 0.0000 eV per atom
space group: No. 123

---

Entry 2:
CaCdRu2: optimized geometry, PBE.

Unit cell a=5.270 b=5.270 c=5.270 alpha=134.09 beta=134.09 gamma=66.94
Each line ends with the local moment (μB).
Fractional positions:
Ru 0.000 0.000 0.000  1.19
Ru 0.500 0.500 0.000  1.19
Ca 0.250 0.750 0.500  -0.02
Cd 0.750 0.250 0.500  -0.02

Values from the calculation:
E_form: 0.4738 eV per atom
crystal system: tetragonal
space group: No. 139

---

Entry 3:
TcSbOs2: optimized geometry, PBE.

Unit cell a=5.321 b=5.321 c=5.321 alpha=146.53 beta=129.29 gamma=62.13
Fractional positions:
Os 0.000 0.000 0.000
Os 0.730 0.230 0.500
Sb 0.500 0.500 0.000
Tc 0.269 0.769 0.500

Values from the calculation:
formation energy without anion corrections: 584.1 meV/atom
crystal system: orthorhombic
space group: No. 44

---

Entry 4:
CeSmEu: optimized geometry, PBE.

Unit cell a=3.627 b=3.627 c=9.039 alpha=90.00 beta=90.00 gamma=120.00
Each line ends with the local moment (μB).
Fractional positions:
Eu 0.000 0.000 0.996  7.01
Ce 0.333 0.667 0.658  0.80
Sm 0.667 0.333 0.346  -0.01

Values from the calculation:
E_form: 0.1204 eV per atom
crystal system: trigonal
space group: No. 156

---

Entry 5:
CuSbTe2Os: optimized geometry, PBE.

Unit cell a=5.338 b=5.338 c=5.024 alpha=90.00 beta=90.00 gamma=90.00
Fractional positions:
Sb 0.000 0.000 0.500
Te 0.000 0.500 0.000
Te 0.500 0.000 0.000
Os 0.000 0.000 0.000
Cu 0.500 0.500 0.500

Values from the calculation:
formation energy without anion corrections: 968.7 meV/atom
crystal system: tetragonal
polymorph energy (0 for the lowest one): 0.0000 eV per atom
space group: No. 123

---

Entry 6:
Sm12Ga6C: optimized geometry, PBE.

Unit cell a=8.113 b=8.113 c=8.113 alpha=93.99 beta=93.99 gamma=93.99
Fractional positions:
Sm 0.808 0.577 0.452
Sm 0.452 0.808 0.577
Sm 0.577 0.452 0.808
Sm 0.192 0.423 0.548
Sm 0.548 0.192 0.423
Sm 0.423 0.548 0.192
Sm 0.965 0.074 0.299
Sm 0.926 0.701 0.035
Sm 0.701 0.035 0.926
Sm 0.035 0.926 0.701
Sm 0.074 0.299 0.965
Sm 0.299 0.965 0.074
Ga 0.652 0.854 0.263
Ga 0.737 0.348 0.146
Ga 0.146 0.737 0.348
Ga 0.348 0.146 0.737
Ga 0.263 0.652 0.854
Ga 0.854 0.263 0.652
C 0.000 0.000 0.000

Values from the calculation:
E_form: -0.3430 eV per atom
crystal system: trigonal
space group: No. 148

---

Entry 7:
CaTh2PaAs4: optimized geometry, PBE.

Unit cell a=4.217 b=7.276 c=7.278 alpha=109.50 beta=90.00 gamma=90.00
Fractional positions:
Ca 0.500 0.500 0.000
Th 0.500 0.000 0.500
Th 0.000 0.500 0.500
Pa 0.000 0.000 0.000
As 0.500 0.243 0.239
As 0.500 0.757 0.761
As 0.000 0.245 0.755
As 0.000 0.755 0.245

Values from the calculation:
E_form: -1.2777 eV per atom
crystal system: monoclinic
space group: No. 10

---

Entry 8:
KFeAsSe2: optimized geometry, PBE.

Unit cell a=5.066 b=5.066 c=4.627 alpha=90.00 beta=90.00 gamma=90.00
Each line ends with the local moment (μB).
Fractional positions:
K 0.500 0.500 0.500  0.01
As 0.000 0.000 0.500  -0.12
Fe 0.000 0.000 0.000  2.53
Se 0.000 0.500 0.000  0.12
Se 0.500 0.000 0.000  0.12

Values from the calculation:
formation energy without anion corrections: -144.8 meV/atom
crystal system: tetragonal
polymorph energy (0 for the lowest one): 0.0000 eV per atom
space group: No. 123

---

| no. | uncorrected energy (eV per atom) | calculated volume (Å³ per cell) |
| --- | --- | --- |
| 1 | -4.37 | 138.8 |
| 2 | -4.89 | 74.3 |
| 3 | -8.65 | 63.7 |
| 4 | -6.86 | 103.0 |
| 5 | -4.18 | 143.2 |
| 6 | -4.76 | 530.0 |
| 7 | -6.89 | 210.5 |
| 8 | -4.38 | 118.7 |